No. 1
Material: Pu3TlRu
Method: DFT, PBE-GGA
State: relaxed

The structure in extended XYZ format:
```
5
Lattice="5.247 0.000 0.000 0.000 5.247 0.000 0.000 0.000 5.247" Properties=species:S:1:pos:R:3 pbc="T T T"
Pu 0.000 0.000 2.623
Pu 0.000 2.623 0.000
Pu 2.623 0.000 0.000
Tl 2.623 2.623 2.623
Ru 0.000 0.000 0.000
```

Results
* space-group type: Pm-3m (221)
* size of the total moment: 3.28 μB per atom
* Fermi-level density of states: 24.76 states/eV/f.u.
* relative energy among the computed polymorphs: 0.00 eV/f.u.
* raw total energy: -10.80 eV per atom

=====

No. 2
Material: PuTlRu2
Method: DFT, PBE-GGA
State: relaxed

The structure in extended XYZ format:
```
4
Lattice="4.509 0.000 0.000 0.000 4.509 0.000 0.000 0.000 3.614" Properties=species:S:1:pos:R:3 pbc="T T T"
Pu 0.000 0.000 0.000
Tl 2.255 2.255 0.000
Ru 0.000 2.255 1.807
Ru 2.255 0.000 1.807
```

Results
* space-group type: P4/mmm (123)
* size of the total moment: 0.87 μB per atom
* Fermi-level density of states: 7.05 states/eV/f.u.
* raw total energy: -8.72 eV per atom

=====

No. 3
Material: Pu3TlRu
Method: DFT, PBE-GGA
State: relaxed

The structure in extended XYZ format:
```
5
Lattice="6.271 0.000 0.000 -3.135 5.430 0.000 0.000 0.000 3.111" Properties=species:S:1:pos:R:3 pbc="T T T"
Pu -1.173 2.943 0.000
Pu 1.173 2.943 0.000
Pu 0.000 4.975 0.000
Tl 0.000 0.000 1.556
Ru 3.135 1.810 1.556
```

Results
* space-group type: P-6m2 (187)
* size of the total moment: 0.00 μB per atom
* Fermi-level density of states: 7.87 states/eV/f.u.
* relative energy among the computed polymorphs: 1.39 eV/f.u.
* raw total energy: -10.53 eV per atom